The following is a PBE+U calculation of a relaxed structure of Na4Co7P6O24, from Alexandria via LeMat-Bulk.

```
41
Lattice="5.309 -7.281 0.000 5.309 7.281 0.000 -1.787 0.000 6.290" Properties=species:S:1:pos:R:3 pbc="T T T"
Na 0.000 0.000 0.000
Na 1.166 1.668 5.993
Na 1.166 -1.668 5.993
Na 4.905 0.000 5.801
Co 1.135 2.295 2.767
Co 3.337 4.681 1.633
Co 4.245 2.711 3.940
Co 1.135 -2.295 2.767
Co 3.337 -4.681 1.633
Co 6.434 0.000 2.803
Co 4.245 -2.711 3.940
P -0.831 0.000 3.267
P 3.084 0.000 2.426
P 5.940 2.727 0.964
P 6.959 2.663 4.603
P 5.940 -2.727 0.964
P 6.959 -2.663 4.603
O 2.169 4.935 6.007
O 2.834 4.299 3.637
O 4.798 6.032 2.328
O 0.082 0.000 4.497
O 2.146 0.000 1.205
O 2.776 1.280 3.313
O 4.753 3.066 1.924
O 3.606 2.375 5.862
O 6.923 3.962 1.052
O 6.010 3.934 4.484
O 2.776 -1.280 3.313
O 4.542 0.000 1.991
O 5.988 1.509 4.165
O 6.848 1.527 1.419
O 2.834 -4.299 3.637
O 3.606 -2.375 5.862
O 2.169 -4.935 6.007
O 4.753 -3.066 1.924
O 5.988 -1.509 4.165
O 6.848 -1.527 1.419
O 8.316 0.000 3.658
O 4.798 -6.032 2.328
O 6.923 -3.962 1.052
O 6.010 -3.934 4.484
```

Values from the calculation:
Size of the total moment (μB per cell): 21.0
Uncorrected energy (eV per atom): -6.589
Symmetry: Cm (8)